Entry 1:
The following is a DFT calculation (PBE-GGA) of a relaxed structure of BeCr2W.

Results
SG ... C2/m
Energy of formation ... 0.152 eV/atom
M_tot ... 0.00 Bohr magnetons per cell

abc: 4.4783 4.4783 4.0676
angles: 107.94 107.94 39.07
Closest atoms and distances in Å follow each position.
Sites, in units of the cell vectors:
Be (0.0000, 0.0000, 0.0000)  6 Cr 2.48-2.58, 4 W 2.53
Cr (0.2536, 0.2536, 0.7803)  2 Cr 2.35, 3 Be 2.48-2.58, 2 W 2.56
Cr (0.7464, 0.7464, 0.2197)  2 Cr 2.35, 3 Be 2.48-2.58, 2 W 2.56
W (0.5000, 0.5000, 0.5000)  4 Be 2.53, 6 Cr 2.56-2.68

***

Entry 2:
The following is a DFT calculation (PBE-GGA) of a relaxed structure of BeCrW2.

Results
SG ... R-3m
Energy of formation ... 0.471 eV/atom
M_tot ... 1.59 Bohr magnetons per cell

abc: 8.6913 8.6913 8.6913
angles: 18.21 18.21 18.21
Closest atoms and distances in Å follow each position.
Sites, in units of the cell vectors:
Be (0.0000, 0.0000, 0.0000)  6 W 2.59, 6 Be 2.75
Cr (0.5000, 0.5000, 0.5000)  6 W 2.73, 6 Cr 2.75
W (0.2534, 0.2534, 0.2534)  3 Be 2.59, 3 Cr 2.73, 6 W 2.75
W (0.7466, 0.7466, 0.7466)  3 Be 2.59, 3 Cr 2.73, 6 W 2.75

***

Entry 3:
The following is a DFT calculation (PBE-GGA) of a relaxed structure of Be3CrW.

Results
SG ... Pm-3m
Energy of formation ... 1.466 eV/atom
M_tot ... 3.31 Bohr magnetons per cell

abc: 4.2777 4.2777 4.2777
angles: 90.00 90.00 90.00
Closest atoms and distances in Å follow each position.
Sites, in units of the cell vectors:
Be (0.0000, 0.0000, 0.5000)  2 W 2.14
Be (0.0000, 0.5000, 0.0000)  2 W 2.14
Be (0.5000, 0.0000, 0.0000)  2 W 2.14
Cr (0.5000, 0.5000, 0.5000)  12 Be 3.02
W (0.0000, 0.0000, 0.0000)  6 Be 2.14

***

Entry 4:
The following is a DFT calculation (PBE-GGA) of a relaxed structure of BeCrW2.

Results
SG ... C2/m
Energy of formation ... 0.224 eV/atom
M_tot ... 0.00 Bohr magnetons per cell

abc: 4.8725 4.8725 2.6465
angles: 99.84 99.84 113.98
Closest atoms and distances in Å follow each position.
Sites, in units of the cell vectors:
Be (0.0000, 0.0000, 0.0000)  4 W 2.57, 2 Be 2.65, 2 Cr 2.65
Cr (0.5000, 0.5000, 0.0000)  4 W 2.57, 2 Cr 2.65, 2 Be 2.65
W (0.0000, 0.5000, 0.5000)  2 Cr 2.57, 2 Be 2.57, 4 W 2.65
W (0.5000, 0.0000, 0.5000)  2 Cr 2.57, 2 Be 2.57, 4 W 2.65

***

Entry 5:
The following is a DFT calculation (PBE-GGA) of a relaxed structure of BeCr2W.

Results
SG ... P4/mmm
Energy of formation ... 0.295 eV/atom
M_tot ... 0.00 Bohr magnetons per cell

abc: 2.5435 2.5435 7.5757
angles: 90.00 90.00 90.00
Closest atoms and distances in Å follow each position.
Sites, in units of the cell vectors:
Be (0.0000, 0.0000, 0.0000)  8 Cr 2.40, 4 Be 2.54
Cr (0.5000, 0.5000, 0.2097)  4 Be 2.40, 4 Cr 2.54
Cr (0.5000, 0.5000, 0.7903)  4 Be 2.40, 4 Cr 2.54
W (0.0000, 0.0000, 0.5000)  4 W 2.54, 8 Cr 2.84

***

Entry 6:
The following is a DFT calculation (PBE-GGA) of a relaxed structure of Be2Cr2W.

Results
SG ... P4/mbm
Energy of formation ... -0.028 eV/atom
M_tot ... 0.00 Bohr magnetons per cell

abc: 6.0624 6.0624 2.9832
angles: 90.00 90.00 90.00
Closest atoms and distances in Å follow each position.
Sites, in units of the cell vectors:
Be (0.1176, 0.3824, 0.0000)  1 Be 2.02
Be (0.3824, 0.8824, 0.0000)  1 Be 2.02
Be (0.6176, 0.1176, 0.0000)  1 Be 2.02
Be (0.8824, 0.6176, 0.0000)  1 Be 2.02
Cr (0.1770, 0.6770, 0.5000)  6 Be 2.31-2.35
Cr (0.3230, 0.1770, 0.5000)  6 Be 2.31-2.35
Cr (0.6770, 0.8230, 0.5000)  6 Be 2.31-2.35
Cr (0.8230, 0.3230, 0.5000)  6 Be 2.31-2.35
W (0.0000, 0.0000, 0.0000)  4 Be 2.43, 8 Cr 2.69
W (0.5000, 0.5000, 0.0000)  4 Be 2.43, 8 Cr 2.69